Here is HgAsIr2 after structural relaxation from the Alexandria database. Energies are from GGA-PBE.

abc: 5.432 5.432 2.926
angles: 74.64 74.64 115.13
Element x y z (fractional)
Ir  0.500  0.500  0.000
Ir  0.000  0.000  0.000
As  0.500  0.000  0.500
Hg  0.000  0.500  0.500

Calculated values
The energy of formation comes out at 2.338 eV/f.u. The size of the total moment comes out at 0.0 μB/f.u.



Here is NbReB3 after structural relaxation from the Alexandria database. Energies are from GGA-PBE.

abc: 4.011 4.011 4.011
angles: 90.00 90.00 90.00
Element x y z (fractional)
B  0.500  0.000  0.000
B  0.000  0.500  0.000
B  0.000  0.000  0.500
Nb  0.500  0.500  0.500
Re  0.000  0.000  0.000

Calculated values
The energy of formation comes out at 4.535 eV/f.u. The size of the total moment comes out at 0.0 μB/f.u.



Here is TbPm2PaRu2 after structural relaxation from the Alexandria database. Energies are from GGA-PBE.

abc: 6.820 6.924 8.346
angles: 114.51 114.12 90.00
Element x y z (fractional)
Ru  0.903  0.193  0.805
Ru  0.403  0.612  0.805
Ru  0.097  0.807  0.195
Ru  0.597  0.388  0.195
Pm  0.694  0.912  0.388
Pm  0.194  0.475  0.388
Pm  0.806  0.525  0.612
Pm  0.306  0.088  0.612
Pa  0.250  0.500  0.000
Pa  0.750  0.500  0.000
Tb  0.750  0.000  0.000
Tb  0.250  0.000  0.000

Calculated values
The energy of formation comes out at -1.740 eV/f.u. The size of the total moment comes out at 0.0 μB/f.u.



Here is Pr6ZnGa5 after structural relaxation from the Alexandria database. Energies are from GGA-PBE.

abc: 5.276 9.138 9.138
angles: 120.11 106.76 106.76
Element x y z (fractional)
Pr  0.750  0.250  0.250
Pr  0.750  0.583  0.917
Pr  0.750  0.917  0.583
Pr  0.250  0.417  0.083
Pr  0.250  0.083  0.417
Pr  0.250  0.750  0.750
Ga  0.000  0.666  0.334
Ga  0.000  0.334  0.666
Ga  0.500  0.836  0.164
Ga  0.500  0.164  0.836
Ga  0.500  0.500  0.500
Zn  0.000  0.000  0.000

Calculated values
The energy of formation comes out at -6.057 eV/f.u. The size of the total moment comes out at 0.0 μB/f.u.



Here is LiAlPd after structural relaxation from the Alexandria database. Energies are from GGA-PBE.

abc: 4.279 4.279 5.351
angles: 90.01 90.00 60.00
Element x y z (fractional)
Pd  0.616  0.430  0.973
Pd  0.282  0.097  0.304
Al  0.616  0.430  0.474
Al  0.949  0.763  0.144
Li  0.282  0.097  0.802
Li  0.949  0.763  0.654

Calculated values
The energy of formation comes out at -2.012 eV/f.u. The size of the total moment comes out at 0.0 μB/f.u.



Here is La8Ir3RhCl4 after structural relaxation from the Alexandria database. Energies are from GGA-PBE.

abc: 8.362 9.047 8.361
angles: 117.55 120.00 90.00
Element x y z (fractional)
La  0.235  0.704  0.969
La  0.764  0.296  0.529
La  0.733  0.704  0.969
La  0.735  0.704  0.470
La  0.765  0.296  0.031
La  0.236  0.704  0.471
La  0.265  0.296  0.530
La  0.267  0.296  0.031
Ir  0.500  0.500  0.500
Ir  0.500  0.500  0.000
Ir  0.000  0.500  0.500
Cl  0.500  0.000  0.500
Cl  0.000  0.000  0.500
Cl  0.500  0.000  0.000
Cl  0.000  0.000  0.000
Rh  0.000  0.500  0.000

Calculated values
The size of the total moment comes out at 0.0 μB/f.u. The calculation puts the energy relative to the elements, uncorrected at -1.3259 eV per atom.



Here is YNi2W after structural relaxation from the Alexandria database. Energies are from GGA-PBE.

abc: 4.656 4.656 5.109
angles: 79.24 79.24 37.42
Element x y z (fractional)
Y  0.255  0.255  0.218
Ni  0.747  0.747  0.720
Ni  0.015  0.015  0.969
W  0.482  0.482  0.593

Calculated values
The energy of formation comes out at 0.754 eV/f.u. The size of the total moment comes out at 0.0 μB/f.u.



Here is TbZrCo4 after structural relaxation from the Alexandria database. Energies are from GGA-PBE.

abc: 4.984 4.984 4.984
angles: 60.00 60.00 60.00
Each line ends with the local moment (μB).
Element x y z (fractional)
Co  0.625  0.625  0.625  0.92
Co  0.124  0.625  0.625  0.92
Co  0.625  0.124  0.625  0.92
Co  0.625  0.625  0.124  0.92
Zr  0.000  0.000  0.000  -0.32
Tb  0.250  0.250  0.250  -0.26

Calculated values
The energy of formation comes out at -1.284 eV/f.u. The size of the total moment comes out at 2.9 μB/f.u.



> Which formula does entry 3 have?

TbPm2PaRu2